[1]
Below is LiEr4Hg2 after structural relaxation, with properties calculated at the GGA-PBE level. Values from VASP.

Summary:
energy of formation from the pure elements: -0.072 eV per atom
crystal system: trigonal
calculated density: 9.1 g cm⁻³
E_tot: -21.27 eV per cell

Structure (Quantum ESPRESSO input):
```
&SYSTEM
  ibrav = 0, nat = 7, ntyp = 3
/
ATOMIC_SPECIES
Li 6.94 Li.upf
Er 167.26 Er.upf
Hg 200.59 Hg.upf
CELL_PARAMETERS angstrom
2.556 1.476 8.639
-2.556 1.476 8.639
0.000 -2.952 8.639
ATOMIC_POSITIONS angstrom
Li 0.000 0.000 0.000
Er 0.000 0.000 5.528
Er 0.000 0.000 9.701
Er 0.000 0.000 16.217
Er 0.000 0.000 20.390
Hg 0.000 0.000 2.468
Hg 0.000 0.000 23.450
```

[2]
Below is AcSmHo2S4 after structural relaxation, with properties calculated at the GGA-PBE level. Values from VASP.

Summary:
formation energy (no corrections): -1973 meV/atom
crystal system: monoclinic
calculated density: 7.5 g cm⁻³
E_tot: -50.27 eV per cell

Structure (Quantum ESPRESSO input):
```
&SYSTEM
  ibrav = 0, nat = 8, ntyp = 4
/
ATOMIC_SPECIES
Ac 227.00 Ac.upf
Sm 150.36 Sm.upf
Ho 164.93 Ho.upf
S 32.06 S.upf
CELL_PARAMETERS angstrom
6.880 0.000 0.000
0.000 3.948 0.000
-2.275 0.000 6.794
ATOMIC_POSITIONS angstrom
Ac 0.000 0.000 0.000
Sm 3.440 1.974 0.000
Ho -1.138 1.974 3.397
Ho 2.302 0.000 3.397
S 0.062 0.000 4.957
S 1.205 1.974 1.879
S 3.400 1.974 4.915
S 4.542 0.000 1.837
```

[3]
Below is Li2In2Hg7 after structural relaxation, with properties calculated at the GGA-PBE level. Values from VASP.

Summary:
energy of formation from the pure elements: -0.110 eV per atom
crystal system: triclinic
calculated density: 10.3 g cm⁻³
E_tot: -12.62 eV per cell

Structure (Quantum ESPRESSO input):
```
&SYSTEM
  ibrav = 0, nat = 11, ntyp = 3
/
ATOMIC_SPECIES
Li 6.94 Li.upf
In 114.82 In.upf
Hg 200.59 Hg.upf
CELL_PARAMETERS angstrom
6.564 0.000 0.000
1.904 6.405 0.000
1.925 1.098 6.333
ATOMIC_POSITIONS angstrom
Li 1.347 1.937 1.624
Li 9.046 5.566 4.709
In 1.929 5.409 1.178
In 8.463 2.095 5.154
Hg 3.570 3.321 2.816
Hg 4.681 6.378 3.068
Hg 4.698 4.101 5.766
Hg 3.282 0.000 0.000
Hg 5.695 3.403 0.566
Hg 5.712 1.125 3.265
Hg 6.823 4.182 3.516
```

[4]
Below is V2NiRu after structural relaxation, with properties calculated at the GGA-PBE level. Values from VASP.

Summary:
energy of formation from the pure elements: -0.197 eV per atom
crystal system: tetragonal
calculated density: 8.5 g cm⁻³
E_tot: -34.08 eV per cell

Structure (Quantum ESPRESSO input):
```
&SYSTEM
  ibrav = 0, nat = 4, ntyp = 3
/
ATOMIC_SPECIES
V 50.94 V.upf
Ni 58.69 Ni.upf
Ru 101.07 Ru.upf
CELL_PARAMETERS angstrom
3.791 0.000 0.000
0.000 3.791 0.000
0.000 0.000 3.575
ATOMIC_POSITIONS angstrom
V 0.000 1.896 0.000
V 1.896 0.000 0.000
Ni 0.000 0.000 1.788
Ru 1.896 1.896 1.788
```

[5]
Below is OsSeOF2 after structural relaxation, with properties calculated at the GGA-PBE level. Values from VASP.

Summary:
formation energy (no corrections): 614 meV/atom
crystal system: tetragonal
calculated density: 6.6 g cm⁻³
E_tot: -20.34 eV per cell

Structure (Quantum ESPRESSO input):
```
&SYSTEM
  ibrav = 0, nat = 5, ntyp = 4
/
ATOMIC_SPECIES
Os 190.23 Os.upf
Se 78.96 Se.upf
O 16.00 O.upf
F 19.00 F.upf
CELL_PARAMETERS angstrom
4.673 0.000 0.000
0.000 4.673 0.000
0.000 0.000 3.697
ATOMIC_POSITIONS angstrom
Os 0.000 0.000 0.000
Se 2.336 2.336 1.849
O 2.336 2.336 0.000
F 0.000 2.336 1.849
F 2.336 0.000 1.849
```

[6]
Below is Pr4SiPtBr2 after structural relaxation, with properties calculated at the GGA-PBE level. Values from VASP.

Summary:
formation energy (no corrections): -1113 meV/atom
crystal system: monoclinic
calculated density: 6.6 g cm⁻³
E_tot: -42.83 eV per cell

Structure (Quantum ESPRESSO input):
```
&SYSTEM
  ibrav = 0, nat = 8, ntyp = 4
/
ATOMIC_SPECIES
Pr 140.91 Pr.upf
Si 28.09 Si.upf
Pt 195.08 Pt.upf
Br 79.90 Br.upf
CELL_PARAMETERS angstrom
7.699 0.000 0.000
0.000 4.199 0.000
-2.348 0.000 7.388
ATOMIC_POSITIONS angstrom
Pr 1.273 0.000 1.502
Pr 0.191 2.100 5.797
Pr 5.160 2.100 1.591
Pr 4.077 0.000 5.886
Si 3.849 0.000 0.000
Pt 0.000 2.100 0.000
Br -1.174 0.000 3.694
Br 2.675 2.100 3.694
```

[7]
Below is CuHgAu2 after structural relaxation, with properties calculated at the GGA-PBE level. Values from VASP.

Summary:
energy of formation from the pure elements: 0.089 eV per atom
crystal system: monoclinic
calculated density: 15.4 g cm⁻³
E_tot: -10.59 eV per cell

Structure (Quantum ESPRESSO input):
```
&SYSTEM
  ibrav = 0, nat = 4, ntyp = 3
/
ATOMIC_SPECIES
Cu 63.55 Cu.upf
Hg 200.59 Hg.upf
Au 196.97 Au.upf
CELL_PARAMETERS angstrom
4.836 -1.500 0.000
4.836 1.500 0.000
-1.236 0.000 4.901
ATOMIC_POSITIONS angstrom
Cu 0.000 0.000 0.000
Hg 6.813 0.000 1.239
Au 1.639 0.000 3.818
Au 4.234 0.000 2.551
```

[8]
Below is RbCeAlSe4 after structural relaxation, with properties calculated at the GGA-PBE level. Values from VASP.

Summary:
formation energy (no corrections): -1324 meV/atom
crystal system: monoclinic
calculated density: 4.4 g cm⁻³
E_tot: -67.70 eV per cell

Structure (Quantum ESPRESSO input):
```
&SYSTEM
  ibrav = 0, nat = 14, ntyp = 4
/
ATOMIC_SPECIES
Rb 85.47 Rb.upf
Ce 140.12 Ce.upf
Al 26.98 Al.upf
Se 78.96 Se.upf
CELL_PARAMETERS angstrom
6.845 0.000 0.000
0.000 6.906 0.000
-3.031 0.000 9.061
ATOMIC_POSITIONS angstrom
Rb 0.332 1.726 4.024
Rb 3.482 5.179 5.038
Ce -1.032 1.726 8.582
Ce 4.846 5.179 0.479
Al 1.353 5.179 1.498
Al 2.461 1.726 7.563
Se -2.426 5.179 8.303
Se -0.505 5.179 2.959
Se 0.902 3.525 7.223
Se 0.902 6.834 7.223
Se 2.912 0.072 1.838
Se 2.912 3.381 1.838
Se 4.319 1.726 6.102
Se 6.240 1.726 0.758
```

[9]
Below is CeNd6Sm8 after structural relaxation, with properties calculated at the GGA-PBE level. Values from VASP.

Summary:
energy of formation from the pure elements: 0.121 eV per atom
crystal system: trigonal
calculated density: 7.1 g cm⁻³
E_tot: -70.49 eV per cell

Structure (Quantum ESPRESSO input):
```
&SYSTEM
  ibrav = 0, nat = 15, ntyp = 3
/
ATOMIC_SPECIES
Ce 140.12 Ce.upf
Nd 144.24 Nd.upf
Sm 150.36 Sm.upf
CELL_PARAMETERS angstrom
4.625 2.670 6.997
-4.625 2.670 6.997
0.000 -5.340 6.997
ATOMIC_POSITIONS angstrom
Ce 0.000 0.000 0.000
Nd -0.608 -1.993 6.126
Nd -1.422 1.523 6.126
Nd -2.030 -0.469 14.866
Nd 2.030 0.469 6.126
Nd 1.422 -1.523 14.866
Nd 0.608 1.993 14.866
Sm -2.962 -1.505 11.070
Sm -0.178 -3.318 9.922
Sm -2.784 1.813 9.922
Sm 0.000 0.000 8.876
Sm 0.000 0.000 12.116
Sm 2.784 -1.813 11.070
Sm 0.178 3.318 11.070
Sm 2.962 1.505 9.922
```

[10]
Below is SnSb4S7 after structural relaxation, with properties calculated at the GGA-PBE level. Values from VASP.

Summary:
formation energy (no corrections): -281 meV/atom
crystal system: monoclinic
calculated density: 4.3 g cm⁻³
E_tot: -105.50 eV per cell

Structure (Quantum ESPRESSO input):
```
&SYSTEM
  ibrav = 0, nat = 24, ntyp = 3
/
ATOMIC_SPECIES
Sn 118.71 Sn.upf
Sb 121.76 Sb.upf
S 32.06 S.upf
CELL_PARAMETERS angstrom
11.207 0.000 0.000
0.000 3.898 0.000
-3.654 0.000 14.565
ATOMIC_POSITIONS angstrom
Sn 0.283 0.975 4.173
Sn 7.270 2.924 10.392
Sb -0.196 2.924 7.799
Sb -1.712 2.924 14.177
Sb 1.574 0.975 12.851
Sb 3.622 2.924 5.552
Sb 3.931 0.975 9.013
Sb 5.979 2.924 1.713
Sb 9.265 0.975 0.387
Sb 7.749 0.975 6.766
S -2.028 0.975 8.807
S -2.991 0.975 13.082
S -0.153 2.924 12.158
S 1.301 0.975 6.670
S 2.119 2.924 3.595
S 4.207 0.975 0.548
S 2.522 2.924 9.887
S 5.031 0.975 4.677
S 3.347 2.924 14.017
S 5.435 0.975 10.970
S 6.252 2.924 7.895
S 7.706 0.975 2.407
S 10.545 2.924 1.483
S 9.581 2.924 5.758
```

[11]
Below is BaVAg2 after structural relaxation, with properties calculated at the GGA-PBE level. Values from VASP.

Summary:
energy of formation from the pure elements: 0.530 eV per atom
crystal system: tetragonal
calculated density: 5.1 g cm⁻³
E_tot: -29.25 eV per cell

Structure (Quantum ESPRESSO input):
```
&SYSTEM
  ibrav = 0, nat = 8, ntyp = 3
/
ATOMIC_SPECIES
Ba 137.33 Ba.upf
V 50.94 V.upf
Ag 107.87 Ag.upf
CELL_PARAMETERS angstrom
-2.653 2.653 9.345
2.653 -2.653 9.345
2.653 2.653 -9.345
ATOMIC_POSITIONS angstrom
Ba 0.000 0.000 0.000
Ba 0.000 2.653 4.673
V 2.653 0.000 4.673
V 0.000 0.000 9.345
Ag 1.326 -0.084 7.009
Ag 2.569 1.326 2.336
Ag 1.326 2.736 -2.336
Ag 0.084 1.326 11.682
```

[12]
Below is Nb2NiIr after structural relaxation, with properties calculated at the GGA-PBE level. Values from VASP.

Summary:
energy of formation from the pure elements: -0.358 eV per atom
crystal system: tetragonal
calculated density: 11.8 g cm⁻³
E_tot: -36.22 eV per cell

Structure (Quantum ESPRESSO input):
```
&SYSTEM
  ibrav = 0, nat = 4, ntyp = 3
/
ATOMIC_SPECIES
Nb 92.91 Nb.upf
Ni 58.69 Ni.upf
Ir 192.22 Ir.upf
CELL_PARAMETERS angstrom
3.953 0.000 0.000
0.000 3.953 0.000
0.000 0.000 3.931
ATOMIC_POSITIONS angstrom
Nb 0.000 1.977 0.000
Nb 1.977 0.000 0.000
Ni 0.000 0.000 1.965
Ir 1.977 1.977 1.965
```

[13]
Below is K4Np3MnS8 after structural relaxation, with properties calculated at the GGA-PBE level. Values from VASP.

Summary:
formation energy (no corrections): -1264 meV/atom
crystal system: trigonal
calculated density: 4.7 g cm⁻³
E_tot: -105.63 eV per cell

Structure (Quantum ESPRESSO input):
```
&SYSTEM
  ibrav = 0, nat = 16, ntyp = 4
/
ATOMIC_SPECIES
K 39.10 K.upf
Np 237.00 Np.upf
Mn 54.94 Mn.upf
S 32.06 S.upf
CELL_PARAMETERS angstrom
4.031 2.327 7.327
-4.031 2.327 7.327
0.000 -4.655 7.327
ATOMIC_POSITIONS angstrom
K 0.000 0.000 0.000
K -2.015 -1.164 7.327
K -2.015 1.164 14.654
K 0.000 2.327 7.327
Np -4.031 0.000 10.990
Np -2.015 1.164 3.663
Np 2.015 1.164 3.664
Mn 0.000 0.000 10.991
S 0.000 0.000 5.139
S -1.973 -1.139 12.426
S 0.000 -2.279 9.555
S -1.973 1.139 9.555
S 1.973 -1.139 12.426
S 0.000 2.279 12.426
S 1.973 1.139 9.555
S 0.000 0.000 16.842
```

[14]
Below is Ce3DyAu4 after structural relaxation, with properties calculated at the GGA-PBE level. Values from VASP.

Summary:
energy of formation from the pure elements: -0.660 eV per atom
crystal system: tetragonal
calculated density: 11.5 g cm⁻³
E_tot: -40.79 eV per cell

Structure (Quantum ESPRESSO input):
```
&SYSTEM
  ibrav = 0, nat = 8, ntyp = 3
/
ATOMIC_SPECIES
Ce 140.12 Ce.upf
Dy 162.50 Dy.upf
Au 196.97 Au.upf
CELL_PARAMETERS angstrom
3.617 0.000 0.000
0.000 3.617 0.000
0.000 0.000 15.090
ATOMIC_POSITIONS angstrom
Ce 0.000 0.000 0.000
Ce 0.000 0.000 3.816
Ce 0.000 0.000 11.274
Dy 0.000 0.000 7.545
Au 1.808 1.808 1.898
Au 1.808 1.808 5.830
Au 1.808 1.808 9.261
Au 1.808 1.808 13.193
```

[15]
Below is In2GaSiCl after structural relaxation, with properties calculated at the GGA-PBE level. Values from VASP.

Summary:
formation energy (no corrections): 229 meV/atom
crystal system: tetragonal
calculated density: 4.1 g cm⁻³
E_tot: -14.63 eV per cell

Structure (Quantum ESPRESSO input):
```
&SYSTEM
  ibrav = 0, nat = 5, ntyp = 4
/
ATOMIC_SPECIES
In 114.82 In.upf
Ga 69.72 Ga.upf
Si 28.09 Si.upf
Cl 35.45 Cl.upf
CELL_PARAMETERS angstrom
5.627 0.000 0.000
0.000 5.627 0.000
0.000 0.000 4.630
ATOMIC_POSITIONS angstrom
In 0.000 2.814 0.000
In 2.814 0.000 0.000
Ga 0.000 0.000 0.000
Si 0.000 0.000 2.315
Cl 2.814 2.814 2.315
```

[16]
Below is SmZnIr after structural relaxation, with properties calculated at the GGA-PBE level. Values from VASP.

Summary:
energy of formation from the pure elements: -0.639 eV per atom
crystal system: orthorhombic
calculated density: 11.3 g cm⁻³
E_tot: -67.09 eV per cell

Structure (Quantum ESPRESSO input):
```
&SYSTEM
  ibrav = 0, nat = 12, ntyp = 3
/
ATOMIC_SPECIES
Sm 150.36 Sm.upf
Zn 65.41 Zn.upf
Ir 192.22 Ir.upf
CELL_PARAMETERS angstrom
7.071 0.000 0.000
0.000 4.153 0.000
0.000 0.000 8.168
ATOMIC_POSITIONS angstrom
Sm 0.226 1.038 1.520
Sm 3.310 3.115 5.604
Sm 3.761 1.038 2.564
Sm 6.845 3.115 6.648
Zn 1.017 1.038 4.631
Zn 2.518 3.115 0.547
Zn 4.553 1.038 7.621
Zn 6.053 3.115 3.537
Ir 1.677 3.115 3.123
Ir 1.859 1.038 7.207
Ir 5.212 3.115 0.961
Ir 5.394 1.038 5.045
```

[17]
Below is RbZn2HSe2O7 after structural relaxation, with properties calculated at the GGA-PBE level. Values from VASP.

Summary:
crystal system: triclinic
calculated density: 3.8 g cm⁻³
E_tot: -128.99 eV per cell

Structure (Quantum ESPRESSO input):
```
&SYSTEM
  ibrav = 0, nat = 26, ntyp = 5
/
ATOMIC_SPECIES
Rb 85.47 Rb.upf
Zn 65.41 Zn.upf
H 1.01 H.upf
Se 78.96 Se.upf
O 16.00 O.upf
CELL_PARAMETERS angstrom
5.090 0.000 0.000
2.485 7.162 0.000
2.466 1.023 11.739
ATOMIC_POSITIONS angstrom
Rb 2.483 2.947 3.387
Rb 7.557 5.238 8.351
Zn 2.632 0.675 7.604
Zn 5.136 6.067 10.869
Zn 4.904 2.118 0.869
Zn 7.408 7.511 4.135
H 2.549 1.157 9.992
H 7.491 7.028 1.746
Se 4.824 2.838 10.602
Se 4.843 5.750 5.079
Se 5.197 2.435 6.659
Se 5.217 5.347 1.137
O 3.109 2.673 10.872
O 3.151 5.803 4.696
O 4.860 7.470 9.519
O 4.871 6.048 6.789
O 4.922 4.391 9.830
O 2.914 2.126 0.460
O 5.412 7.221 4.392
O 4.628 0.964 7.347
O 7.126 6.059 11.279
O 5.119 3.794 1.908
O 5.169 2.137 4.950
O 5.180 0.716 2.219
O 6.889 2.382 7.043
O 6.931 5.512 0.867
```

[18]
Below is Tl3Cd4Hg9 after structural relaxation, with properties calculated at the GGA-PBE level. Values from VASP.

Summary:
energy of formation from the pure elements: 0.023 eV per atom
crystal system: trigonal
calculated density: 11.0 g cm⁻³
E_tot: -13.10 eV per cell

Structure (Quantum ESPRESSO input):
```
&SYSTEM
  ibrav = 0, nat = 16, ntyp = 3
/
ATOMIC_SPECIES
Tl 204.38 Tl.upf
Cd 112.41 Cd.upf
Hg 200.59 Hg.upf
CELL_PARAMETERS angstrom
3.124 1.804 12.793
-3.124 1.804 12.793
0.000 -3.607 12.793
ATOMIC_POSITIONS angstrom
Tl 0.000 0.000 0.000
Tl 0.000 0.000 5.291
Tl 0.000 0.000 25.884
Cd 0.000 0.000 13.042
Cd 0.000 0.000 17.731
Cd 0.000 0.000 30.441
Cd 0.000 0.000 35.238
Hg -2.048 0.118 15.452
Hg -1.149 -1.501 20.177
Hg 0.922 -1.833 15.452
Hg -0.115 -1.821 23.133
Hg -1.520 1.010 23.133
Hg -0.725 1.746 20.177
Hg 1.127 1.715 15.452
Hg 1.874 -0.245 20.177
Hg 1.635 0.811 23.133
```

[19]
Below is YScTcAu after structural relaxation, with properties calculated at the GGA-PBE level. Values from VASP.

Summary:
energy of formation from the pure elements: -0.386 eV per atom
crystal system: cubic
calculated density: 9.0 g cm⁻³
E_tot: -27.98 eV per cell

Structure (Quantum ESPRESSO input):
```
&SYSTEM
  ibrav = 0, nat = 4, ntyp = 4
/
ATOMIC_SPECIES
Y 88.91 Y.upf
Sc 44.96 Sc.upf
Tc 98.00 Tc.upf
Au 196.97 Au.upf
CELL_PARAMETERS angstrom
0.000 3.413 3.413
3.413 0.000 3.413
3.413 3.413 0.000
ATOMIC_POSITIONS angstrom
Y 0.000 0.000 0.000
Sc 3.413 3.413 3.413
Tc 5.119 5.119 5.119
Au 1.706 1.706 1.706
```

[20]
Below is K2Ga2Sb2P after structural relaxation, with properties calculated at the GGA-PBE level. Values from VASP.

Summary:
formation energy (no corrections): -172 meV/atom
crystal system: triclinic
calculated density: 3.5 g cm⁻³
E_tot: -23.11 eV per cell

Structure (Quantum ESPRESSO input):
```
&SYSTEM
  ibrav = 0, nat = 7, ntyp = 4
/
ATOMIC_SPECIES
K 39.10 K.upf
Ga 69.72 Ga.upf
Sb 121.76 Sb.upf
P 30.97 P.upf
CELL_PARAMETERS angstrom
4.345 0.000 0.000
2.143 6.817 0.000
2.169 2.779 7.849
ATOMIC_POSITIONS angstrom
K 1.072 2.005 1.937
K 7.585 7.591 5.913
Ga 3.250 5.101 1.538
Ga 5.408 4.495 6.311
Sb 3.237 3.891 4.711
Sb 5.420 5.704 3.138
P 3.244 3.408 0.000
```